(1)
First-principles (PBE-GGA) data for a relaxed structure of YMgRh, as listed in the Alexandria database.

Cell and atoms, written as POSCAR:
```
YMgRh
1.0
-1.8725 4.9864 3.1034
-3.3931 5.1450 0.1270
-2.8981 -0.8588 1.4352
Mg Rh Y
1 1 1
Direct
0.9680 0.9680 0.0320 Mg
0.3390 0.3390 0.6610 Rh
0.6930 0.6930 0.3070 Y
```

Results
DOS at the Fermi energy   0.85 states/eV per cell
Calculated formation energy   -50 kJ/mol of atoms
Space group   No. 107

***

(2)
First-principles (PBE-GGA) data for a relaxed structure of Y2TmTh, as listed in the Alexandria database.

Cell and atoms, written as POSCAR:
```
Y2TmTh
1.0
3.5377 -0.0632 -0.5925
-1.7679 3.1199 -0.0251
-1.6521 1.2317 11.7695
Y Tm Th
2 1 1
Direct
0.8832 0.2737 0.7774 Y
0.7203 0.9395 0.2830 Y
0.8016 0.6060 0.0302 Tm
0.3019 0.6067 0.5301 Th
```

Results
DOS at the Fermi energy   5.95 states/eV per cell
Offset from the most stable computed form   0 meV/atom
Calculated formation energy   0 kJ/mol of atoms
Space group   No. 164

***

(3)
First-principles (PBE-GGA) data for a relaxed structure of PrDy5In, as listed in the Alexandria database.

Cell and atoms, written as POSCAR:
```
PrDy5In
1.0
6.2558 0.0000 0.0000
0.0000 7.9143 0.0000
-3.1279 -3.9571 5.7504
Pr Dy In
1 5 1
Direct
0.8168 0.0000 0.0000 Pr
0.4931 0.2544 0.5088 Dy
0.0348 0.5000 0.0000 Dy
0.9843 0.7456 0.4912 Dy
0.3193 0.8129 0.0000 Dy
0.3193 0.1871 0.0000 Dy
0.5632 0.5000 0.0000 In
```

Results
DOS at the Fermi energy   8.09 states/eV per cell
Calculated formation energy   66 kJ/mol of atoms
Space group   No. 44

***

(4)
First-principles (PBE-GGA) data for a relaxed structure of YMg6Zr, as listed in the Alexandria database.

Cell and atoms, written as POSCAR:
```
YMg6Zr
1.0
3.2530 -5.6352 0.0000
3.2530 5.6352 0.0000
0.0000 0.0000 5.1083
Y Mg Zr
1 6 1
Direct
0.0833 0.9167 0.0000 Y
0.0903 0.4201 0.0000 Mg
0.5799 0.9097 0.0000 Mg
0.5798 0.4202 0.0000 Mg
0.4252 0.0876 0.5000 Mg
0.9124 0.5748 0.5000 Mg
0.9124 0.0876 0.5000 Mg
0.4167 0.5833 0.5000 Zr
```

Results
DOS at the Fermi energy   6.12 states/eV per cell
Offset from the most stable computed form   0 meV/atom
Calculated formation energy   -2 kJ/mol of atoms
Space group   No. 187

***

(5)
First-principles (PBE-GGA) data for a relaxed structure of Rb2CuClO, as listed in the Alexandria database.

Cell and atoms, written as POSCAR:
```
Rb2CuClO
1.0
-1.9575 5.1931 1.9347
-1.2415 -2.4106 5.2144
3.3726 0.8293 1.1864
O Cu Rb Cl
1 1 2 1
Direct
0.0000 0.0000 0.0000 O
0.0000 0.0000 0.5000 Cu
0.0000 0.5000 0.0000 Rb
0.5000 0.0000 0.0000 Rb
0.5000 0.5000 0.5000 Cl
```

Results
Space group   No. 123
E_form (uncorrected)   -1241.7 meV per atom